Record 1
# DyU2Fe4 GGA-PBE optimized geometry
data_DyU2Fe4
_chemical_formula_sum 'Dy2 U4 Fe8'
_space_group_name_H-M_alt 'P 42/m n m'
_space_group_IT_number 136
_space_group_name_Hall '-P 4n 2n'
_cell_length_a 7.568
_cell_length_b 7.568
_cell_length_c 3.950
_cell_angle_alpha 90.00
_cell_angle_beta 90.00
_cell_angle_gamma 90.00
loop_
_atom_site_label
_atom_site_type_symbol
_atom_site_fract_x
_atom_site_fract_y
_atom_site_fract_z
Dy1 Dy 0.000 0.000 0.000
U1 U 0.236 0.236 0.500
Fe1 Fe 0.107 0.655 0.500
# * density of states at the Fermi level: 12.92 states/eV/cell
# * E: -8.53 eV per atom
# * DFT formation energy: 0.186 eV/atom
# * crystal system: tetragonal

---

Record 2
# Dy3U2Fe4 GGA-PBE optimized geometry
data_Dy3U2Fe4
_chemical_formula_sum 'Dy6 U4 Fe8'
_space_group_name_H-M_alt 'C 1 2/m 1'
_space_group_IT_number 12
_space_group_name_Hall '-C 2y'
_cell_length_a 10.867
_cell_length_b 3.967
_cell_length_c 8.417
_cell_angle_alpha 90.00
_cell_angle_beta 103.26
_cell_angle_gamma 90.00
loop_
_atom_site_label
_atom_site_type_symbol
_atom_site_fract_x
_atom_site_fract_y
_atom_site_fract_z
Dy1 Dy 0.000 0.000 0.000
Dy2 Dy 0.124 0.500 0.379
U1 U 0.176 0.500 0.779
Fe1 Fe 0.094 0.000 0.647
Fe2 Fe 0.233 0.500 0.091
# * density of states at the Fermi level: 17.57 states/eV/cell
# * E: -7.98 eV per atom
# * DFT formation energy: -0.179 eV/atom
# * crystal system: monoclinic

---

Record 3
# Dy3UFe3 GGA-PBE optimized geometry
data_Dy3UFe3
_chemical_formula_sum 'Dy12 U4 Fe12'
_space_group_name_H-M_alt 'C 1 2/m 1'
_space_group_IT_number 12
_space_group_name_Hall '-C 2y'
_cell_length_a 7.536
_cell_length_b 12.050
_cell_length_c 7.015
_cell_angle_alpha 90.00
_cell_angle_beta 109.46
_cell_angle_gamma 90.00
loop_
_atom_site_label
_atom_site_type_symbol
_atom_site_fract_x
_atom_site_fract_y
_atom_site_fract_z
Dy1 Dy 0.000 0.211 0.000
Dy2 Dy 0.000 0.259 0.500
Dy3 Dy 0.157 0.500 0.887
U1 U 0.216 0.000 0.498
Fe1 Fe 0.003 0.000 0.779
Fe2 Fe 0.204 0.386 0.245
# * density of states at the Fermi level: 19.96 states/eV/cell
# * E: -7.30 eV per atom
# * DFT formation energy: -0.088 eV/atom
# * crystal system: monoclinic

---

Record 4
# DyUFe3 GGA-PBE optimized geometry
data_DyUFe3
_chemical_formula_sum 'Dy4 U4 Fe12'
_space_group_name_H-M_alt 'C m c m'
_space_group_IT_number 63
_space_group_name_Hall '-C 2c 2'
_cell_length_a 5.880
_cell_length_b 10.498
_cell_length_c 5.396
_cell_angle_alpha 90.00
_cell_angle_beta 90.00
_cell_angle_gamma 90.00
loop_
_atom_site_label
_atom_site_type_symbol
_atom_site_fract_x
_atom_site_fract_y
_atom_site_fract_z
Dy1 Dy 0.000 0.082 0.250
U1 U 0.000 0.277 0.750
Fe1 Fe 0.000 0.500 0.000
Fe2 Fe 0.210 0.344 0.250
# * polymorph energy (0 for the lowest one): 0 meV/atom
# * density of states at the Fermi level: 19.38 states/eV/cell
# * E: -8.31 eV per atom
# * DFT formation energy: -0.056 eV/atom
# * crystal system: orthorhombic

---

Record 5
# DyU2Fe9 GGA-PBE optimized geometry
data_DyU2Fe9
_chemical_formula_sum 'Dy3 U6 Fe27'
_space_group_name_H-M_alt 'R -3 m'
_space_group_IT_number 166
_space_group_name_Hall '-R 3 2"'
_cell_length_a 4.9321
_cell_length_b 4.9321
_cell_length_c 24.6623
_cell_angle_alpha 90.00
_cell_angle_beta 90.00
_cell_angle_gamma 120.00
loop_
_atom_site_label
_atom_site_type_symbol
_atom_site_fract_x
_atom_site_fract_y
_atom_site_fract_z
Dy1 Dy 0.0000 0.0000 0.0000
U1 U 0.0000 0.0000 0.1472
Fe1 Fe 0.0000 0.0000 0.3333
Fe2 Fe 0.0000 0.0000 0.5000
Fe3 Fe 0.0009 0.5005 0.0818
# * density of states at the Fermi level: 44.57 states/eV/cell
# * E: -8.69 eV per atom
# * DFT formation energy: -0.079 eV/atom
# * crystal system: trigonal

---

Record 6
# DyU2Fe3 GGA-PBE optimized geometry
data_DyU2Fe3
_chemical_formula_sum 'Dy4 U8 Fe12'
_space_group_name_H-M_alt 'C m c m'
_space_group_IT_number 63
_space_group_name_Hall '-C 2c 2'
_cell_length_a 8.848
_cell_length_b 7.662
_cell_length_c 6.409
_cell_angle_alpha 90.00
_cell_angle_beta 90.00
_cell_angle_gamma 90.00
loop_
_atom_site_label
_atom_site_type_symbol
_atom_site_fract_x
_atom_site_fract_y
_atom_site_fract_z
Dy1 Dy 0.000 0.190 0.250
U1 U 0.205 0.500 0.000
Fe1 Fe 0.000 0.405 0.750
Fe2 Fe 0.162 0.147 0.750
# * density of states at the Fermi level: 30.30 states/eV/cell
# * E: -8.82 eV per atom
# * DFT formation energy: -0.057 eV/atom
# * crystal system: orthorhombic

---

Record 7
# Dy2UFe2 GGA-PBE optimized geometry
data_Dy2UFe2
_chemical_formula_sum 'Dy8 U4 Fe8'
_space_group_name_H-M_alt 'C 1 2/c 1'
_space_group_IT_number 15
_space_group_name_Hall '-C 2yc'
_cell_length_a 10.537
_cell_length_b 6.014
_cell_length_c 7.051
_cell_angle_alpha 90.00
_cell_angle_beta 107.49
_cell_angle_gamma 90.00
loop_
_atom_site_label
_atom_site_type_symbol
_atom_site_fract_x
_atom_site_fract_y
_atom_site_fract_z
Dy1 Dy 0.157 0.102 0.136
U1 U 0.000 0.482 0.750
Fe1 Fe 0.146 0.361 0.492
# * density of states at the Fermi level: 20.81 states/eV/cell
# * E: -7.64 eV per atom
# * DFT formation energy: -0.156 eV/atom
# * crystal system: monoclinic

---

Record 8
# DyUFe3 GGA-PBE optimized geometry
data_DyUFe3
_chemical_formula_sum 'Dy4 U4 Fe12'
_space_group_name_H-M_alt 'P 1 21/c 1'
_space_group_IT_number 14
_space_group_name_Hall '-P 2ybc'
_cell_length_a 7.249
_cell_length_b 5.527
_cell_length_c 9.449
_cell_angle_alpha 90.00
_cell_angle_beta 116.55
_cell_angle_gamma 90.00
loop_
_atom_site_label
_atom_site_type_symbol
_atom_site_fract_x
_atom_site_fract_y
_atom_site_fract_z
Dy1 Dy 0.085 0.089 0.195
U1 U 0.381 0.693 0.073
Fe1 Fe 0.102 0.610 0.108
Fe2 Fe 0.319 0.212 0.549
Fe3 Fe 0.385 0.020 0.857
# * polymorph energy (0 for the lowest one): 10 meV/atom
# * density of states at the Fermi level: 20.46 states/eV/cell
# * E: -8.30 eV per atom
# * DFT formation energy: -0.046 eV/atom
# * crystal system: monoclinic